DFT (SCAN) results for Tl2AgRhBr at its PBEsol-relaxed geometry.

Cell: 4.885 5.241 5.241 Å, 90.00 90.00 90.00°
Atoms (fractional coordinates):
Tl 0.000 0.000 0.500
Tl 0.000 0.500 0.000
Rh 0.000 0.000 0.000
Br 0.500 0.000 0.000
Ag 0.500 0.500 0.500

As for the uncorrected formation energy: 0.22 eV per atom.

***

DFT (SCAN) results for AgRuBr at its PBEsol-relaxed geometry.

Cell: 3.074 4.360 4.360 Å, 120.00 90.00 90.00°
Atoms (fractional coordinates):
Ru 0.000 0.333 0.667
Br 0.000 0.667 0.333
Ag 0.500 0.000 0.000

As for the uncorrected formation energy: 0.91 eV per atom.